# 1
# TeMo2Se

A relaxed structure of TeMo2Se (GGA-PBE, Alexandria).

abc: 4.5995 4.5995 3.2542
angles: 90.00 90.00 90.00
Atoms (fractional coordinates):
1 Te 0.0000 0.0000 0.0000
2 Mo 0.0000 0.5000 0.5000
3 Mo 0.5000 0.0000 0.5000
4 Se 0.5000 0.5000 0.0000

Properties
uncorrected energy: -6.814 eV/atom
M_tot: 0.0 μB per formula unit
formation energy without anion corrections: 0.2583 eV per atom

# 2
# Te2MoSe

A relaxed structure of Te2MoSe (GGA-PBE, Alexandria).

abc: 4.9197 4.9197 7.2606
angles: 110.13 110.13 39.16
Atoms (fractional coordinates):
1 Te 0.0000 0.0000 0.0000
2 Te 0.1854 0.1854 0.6490
3 Mo 0.5344 0.5344 0.3272
4 Se 0.8276 0.8276 0.3225

Properties
uncorrected energy: -5.170 eV/atom
M_tot: 0.0 μB per formula unit
formation energy without anion corrections: -0.0205 eV per atom

# 3
# TeMo2Se

A relaxed structure of TeMo2Se (GGA-PBE, Alexandria).

abc: 5.2761 5.2761 3.6274
angles: 106.41 106.41 116.77
Atoms (fractional coordinates):
1 Te 0.0000 0.0000 0.0000
2 Mo 0.0000 0.5000 0.5000
3 Mo 0.5000 0.0000 0.5000
4 Se 0.5000 0.5000 0.0000

Properties
uncorrected energy: -6.384 eV/atom
M_tot: 0.0 μB per formula unit
formation energy without anion corrections: 0.6881 eV per atom

Q: Look up the uncorrected energy of the first one.
A: -6.814 eV/atom

Q: Which formula does entry 2 have?
A: Te2MoSe